(1)
Computed, not measured: Mg6Hg2Ir after structural relaxation at the PBE-GGA level of DFT.

Summary:
magnetization: 0.0 μB per cell
E above lowest polymorph: 0 meV per atom
final energy: -2.27 eV per atom
mass density: 5.795 g/cm3

abc: 14.5733 6.7320 4.5403
angles: 90.00 108.00 90.00
Last column: nearest neighbours and their distance in Å.
Space group C2/m (No. 12)
Symmetry-distinct sites (fractional):
Mg (0.0000, 0.2178, 0.0000) (multiplicity 4)  2 Ir 2.70, 1 Mg 2.93, 2 Hg 2.99
Mg (0.1542, 0.2319, 0.6537) (multiplicity 8)  1 Ir 2.65, 3 Hg 2.90-2.93
Hg (0.1665, 0.5000, 0.1662) (multiplicity 4)  8 Mg 2.90-2.99
Ir (0.0000, 0.0000, 0.5000) (multiplicity 2)  8 Mg 2.65-2.70


(2)
Computed, not measured: MgHgIr2 after structural relaxation at the PBE-GGA level of DFT.

Summary:
magnetization: 0.0 μB per cell
final energy: -4.73 eV per atom
mass density: 15.339 g/cm3

abc: 4.0855 4.0855 7.9039
angles: 90.00 90.00 90.00
Last column: nearest neighbours and their distance in Å.
Space group I-4m2 (No. 119)
Symmetry-distinct sites (fractional):
Mg (0.0000, 0.0000, 0.0000) (multiplicity 2)  4 Hg 2.84, 8 Ir 2.84-2.89
Hg (0.0000, 0.5000, 0.7500) (multiplicity 2)  8 Ir 2.84-2.89, 4 Mg 2.84
Ir (0.0000, 0.0000, 0.5000) (multiplicity 2)  4 Hg 2.84, 4 Ir 2.84, 4 Mg 2.89
Ir (0.0000, 0.5000, 0.2500) (multiplicity 2)  4 Mg 2.84, 4 Ir 2.84, 4 Hg 2.89


(3)
Computed, not measured: MgHg2Ir after structural relaxation at the PBE-GGA level of DFT.

Summary:
magnetization: 0.0 μB per cell
E above lowest polymorph: 69 meV per atom
final energy: -2.66 eV per atom
mass density: 13.567 g/cm3

abc: 10.6852 3.2586 4.7408
angles: 90.00 113.65 90.00
Last column: nearest neighbours and their distance in Å.
Space group Cm (No. 8)
Symmetry-distinct sites (fractional):
Mg (0.0000, 0.0000, 0.0000) (multiplicity 2)  2 Ir 2.71, 5 Hg 2.87-2.95
Hg (0.0418, 0.5000, 0.5472) (multiplicity 2)  4 Mg 2.87-2.94, 3 Ir 2.90-3.11, 3 Hg 3.07-3.15
Hg (0.2712, 0.5000, 0.1972) (multiplicity 2)  4 Ir 2.84-2.92, 3 Mg 2.95-3.12, 3 Hg 3.07-3.15
Ir (0.2846, 0.0000, 0.6986) (multiplicity 2)  2 Mg 2.71, 6 Hg 2.84-2.92